No. 1
Density functional theory data (PBE) for crystalline NaAg6Pd5 at its relaxed geometry.

Total moment   0.000 μB/atom
Total energy   -44.91 eV for the cell shown

Lattice parameters (Å, degrees): 4.936 5.817 7.063 90.00 91.71 90.00
Fractional coordinates of all 12 atoms:
Na1 0.000 0.000 0.000
Ag1 0.170 0.253 0.339
Ag2 0.170 0.747 0.339
Ag3 0.500 0.254 0.000
Ag4 0.500 0.746 0.000
Ag5 0.830 0.253 0.661
Ag6 0.830 0.747 0.661
Pd1 0.000 0.500 0.000
Pd2 0.331 0.500 0.673
Pd3 0.338 0.000 0.668
Pd4 0.662 0.000 0.332
Pd5 0.669 0.500 0.327



No. 2
Density functional theory data (PBE) for crystalline Na2Ag2Pd15 at its relaxed geometry.

Total moment   0.000 μB/atom
Total energy   -84.65 eV for the cell shown

Lattice parameters (Å, degrees): 6.967 6.967 6.967 82.41 82.41 82.41
Fractional coordinates of all 19 atoms:
Na1 0.100 0.100 0.100
Na2 0.900 0.900 0.900
Ag1 0.378 0.378 0.378
Ag2 0.622 0.622 0.622
Pd1 0.000 0.000 0.500
Pd2 0.000 0.333 0.667
Pd3 0.000 0.500 0.000
Pd4 0.000 0.667 0.333
Pd5 0.173 0.662 0.662
Pd6 0.333 0.000 0.667
Pd7 0.333 0.667 0.000
Pd8 0.338 0.338 0.827
Pd9 0.338 0.827 0.338
Pd10 0.500 0.000 0.000
Pd11 0.662 0.173 0.662
Pd12 0.662 0.662 0.173
Pd13 0.667 0.000 0.333
Pd14 0.667 0.333 0.000
Pd15 0.827 0.338 0.338